DFT (PBE-GGA) results for crystalline Hf2MgMo at its relaxed geometry.

Calculated values
E = -7.941 eV per atom
Calculated formation energy = 0.142 eV/atom
Density of states at the Fermi level = 0.75 states/eV/atom
SG = R-3m, No. 166

Structure (POSCAR):
```
Hf2MgMo
1.0
1.613 0.931 9.381
-1.613 0.931 9.381
0.000 -1.863 9.381
Hf Mg Mo
2 1 1
direct
0.239 0.239 0.239
0.761 0.761 0.761
0.000 0.000 0.000
0.500 0.500 0.500
```